Density functional theory data (PBE with a Hubbard U) for AcFePtO6 after structural relaxation.

Structure (POSCAR):
```
AcFePtO6
1.0
5.286 0.000 0.000
-2.643 4.578 0.000
0.000 0.000 5.346
Ac Fe Pt O
1 1 1 6
Cartesian
0.000 0.000 0.000
2.643 1.526 2.673
0.000 3.052 2.673
-0.966 1.713 1.575
-1.643 2.884 3.772
0.966 1.713 3.772
-0.676 4.558 1.575
1.643 2.884 1.575
0.676 4.558 3.772
```

Uncorrected energy = -59.11 eV per cell